(w)
Below is a geometry-optimized SnAuNO structure, with properties calculated at the PBE level.

a = 4.838 Å, b = 4.838 Å, c = 4.622 Å
α = 90.00°, β = 90.00°, γ = 90.00°
Atoms (fractional coordinates):
N 0.750 0.750 0.501
N 0.250 0.250 0.499
Au 0.250 0.250 0.999
Au 0.750 0.750 0.001
O 0.750 0.250 0.000
O 0.250 0.750 0.000
Sn 0.750 0.250 0.500
Sn 0.250 0.750 0.500

Values from the calculation:
- SG: No. 129
- Crystal system: tetragonal
- Volume: 108 Å³ per cell



(x)
Below is a geometry-optimized SnAuNO structure, with properties calculated at the PBE level.

a = 4.123 Å, b = 4.123 Å, c = 8.612 Å
α = 90.00°, β = 90.00°, γ = 90.00°
Atoms (fractional coordinates):
Au 0.500 0.500 0.500
Au 0.000 0.000 0.500
Sn 0.000 0.500 0.123
Sn 0.500 0.000 0.877
N 0.500 0.000 0.436
N 0.000 0.500 0.564
O 0.500 0.500 0.000
O 0.000 0.000 0.000

Values from the calculation:
- SG: No. 129
- Crystal system: tetragonal
- Volume: 146 Å³ per cell



Unit: kJ/mol of atoms. Relative energies: (w) 6.1; (x) 0.0.



(w)
Below is a geometry-optimized SrAuNO structure, with properties calculated at the PBE level.

a = 5.793 Å, b = 6.321 Å, c = 6.613 Å
α = 89.98°, β = 89.98°, γ = 90.00°
Atoms (fractional coordinates):
Sr 0.550 0.321 0.423
Sr 0.050 0.679 0.577
Sr 0.550 0.679 0.923
Sr 0.050 0.321 0.077
N 0.372 0.974 0.610
N 0.872 0.026 0.390
N 0.872 0.974 0.890
N 0.372 0.026 0.110
O 0.801 0.609 0.224
O 0.301 0.391 0.776
O 0.801 0.391 0.724
O 0.301 0.609 0.276
Au 0.575 0.169 0.892
Au 0.575 0.831 0.392
Au 0.075 0.831 0.108
Au 0.075 0.169 0.608

Values from the calculation:
- SG: No. 29
- Crystal system: orthorhombic
- Volume: 242 Å³ per cell



(x)
Below is a geometry-optimized SrAuNO structure, with properties calculated at the PBE level.

a = 3.757 Å, b = 6.181 Å, c = 5.850 Å
α = 90.00°, β = 90.00°, γ = 90.00°
Atoms (fractional coordinates):
O 0.500 0.256 0.008
O 0.500 0.756 0.992
Sr 0.000 0.009 0.853
Sr 0.000 0.509 0.147
Au 0.500 0.495 0.646
Au 0.500 0.995 0.354
N 0.000 0.993 0.370
N 0.000 0.493 0.630

Values from the calculation:
- SG: No. 26
- Crystal system: orthorhombic
- Volume: 136 Å³ per cell



Unit: kJ/mol of atoms. Relative energies: (w) 0.9; (x) 0.0.



(w)
Below is a geometry-optimized SrAuNO structure, with properties calculated at the PBE level.

a = 4.301 Å, b = 4.301 Å, c = 8.353 Å
α = 90.00°, β = 90.00°, γ = 90.00°
Atoms (fractional coordinates):
N 0.000 0.500 0.449
N 0.500 0.000 0.551
O 0.000 0.000 0.000
O 0.500 0.500 0.000
Sr 0.000 0.500 0.126
Sr 0.500 0.000 0.874
Au 0.000 0.000 0.500
Au 0.500 0.500 0.500

Values from the calculation:
- SG: No. 129
- Crystal system: tetragonal
- Volume: 155 Å³ per cell



(x)
Below is a geometry-optimized SrAuNO structure, with properties calculated at the PBE level.

a = 6.803 Å, b = 6.902 Å, c = 5.579 Å
α = 90.00°, β = 90.00°, γ = 90.00°
Atoms (fractional coordinates):
O 0.436 0.370 0.955
O 0.064 0.370 0.455
O 0.936 0.630 0.955
O 0.564 0.630 0.455
N 0.146 0.002 0.698
N 0.354 0.002 0.198
N 0.854 0.998 0.198
N 0.646 0.998 0.698
Au 0.361 0.851 0.532
Au 0.639 0.149 0.032
Au 0.139 0.851 0.032
Au 0.861 0.149 0.532
Sr 0.411 0.315 0.517
Sr 0.911 0.685 0.517
Sr 0.089 0.315 0.017
Sr 0.589 0.685 0.017

Values from the calculation:
- SG: No. 29
- Crystal system: orthorhombic
- Volume: 262 Å³ per cell



Unit: kJ/mol of atoms. Relative energies: (w) 3.8; (x) 0.0.